[1]
Compound: Tl2Sb2I
Source: Alexandria
Functional: PBE
Structure: optimized geometry

Properties
Magnetization ... 0.0 μB/f.u.
Density of states at the Fermi level ... 1.47 states/eV/f.u.
Relative energy among the computed polymorphs ... 146 meV/atom

abc: 5.774 5.774 10.282
angles: 90.00 90.00 90.00
Space group I4/mmm (No. 139)
One atom of each set of equivalent atoms:
Tl  0.000  0.500  0.250 x4
Sb  0.000  0.000  0.137 x4
I  0.000  0.000  0.500 x2


[2]
Compound: Tl2SbI5
Source: Alexandria
Functional: PBE
Structure: optimized geometry

Properties
Magnetization ... 0.0 μB/f.u.
Relative energy among the computed polymorphs ... 0 meV/atom

abc: 6.799 8.245 9.177
angles: 91.38 111.41 114.24
Space group P1 (No. 1)
One atom of each set of equivalent atoms:
Tl  0.000  0.000  0.000 x1
Tl  0.122  0.724  0.513 x1
Sb  0.589  0.362  0.756 x1
I  0.003  0.357  0.751 x1
I  0.255  0.142  0.420 x1
I  0.458  0.018  0.894 x1
I  0.667  0.705  0.619 x1
I  0.815  0.581  0.092 x1


[3]
Compound: TlSbI6
Source: Alexandria
Functional: PBE
Structure: optimized geometry

Properties
Magnetization ... 0.0 μB/f.u.
Density of states at the Fermi level ... 0.51 states/eV/f.u.

abc: 7.5880 7.5880 20.6810
angles: 90.00 90.00 120.00
Space group R-3 (No. 148, hexagonal axes)
One atom of each set of equivalent atoms:
Tl  0.0000  0.0000  0.0000 x3
Sb  0.0000  0.0000  0.5000 x3
I  0.0011  0.6696  0.2489 x18


[4]
Compound: TlSb2I6
Source: Alexandria
Functional: PBE
Structure: optimized geometry

Properties
Magnetization ... 0.0 μB/f.u.
Density of states at the Fermi level ... 0.67 states/eV/f.u.

abc: 15.675 13.431 12.396
angles: 90.00 125.28 90.00
Space group C2/c (No. 15)
One atom of each set of equivalent atoms:
Tl  0.000  0.071  0.250 x4
Sb  0.129  0.453  0.217 x8
I  0.121  0.248  0.170 x8
I  0.121  0.479  0.465 x8
I  0.142  0.040  0.612 x8


[5]
Compound: Tl2Sb2I
Source: Alexandria
Functional: PBE
Structure: optimized geometry

Properties
Magnetization ... 0.0 μB/f.u.
Density of states at the Fermi level ... 2.64 states/eV/f.u.
Relative energy among the computed polymorphs ... 205 meV/atom

abc: 8.952 8.952 4.540
angles: 90.00 90.00 90.00
Space group P4/mbm (No. 127)
One atom of each set of equivalent atoms:
Tl  0.185  0.315  0.000 x4
Sb  0.107  0.607  0.500 x4
I  0.000  0.000  0.500 x2


[6]
Compound: TlVSb2I
Source: Alexandria
Functional: PBE
Structure: optimized geometry

Properties
Magnetization ... 0.8 μB/f.u.
Density of states at the Fermi level ... 3.34 states/eV/f.u.
Relative energy among the computed polymorphs ... 0 meV/atom

abc: 5.112 5.112 6.200
angles: 90.00 90.00 90.00
Space group P4/mmm (No. 123)
One atom of each set of equivalent atoms:
Tl  0.000  0.000  0.000 x1
V  0.500  0.500  0.500 x1
Sb  0.000  0.500  0.500 x2
I  0.500  0.500  0.000 x1


[7]
Compound: TlVSb2I
Source: Alexandria
Functional: PBE
Structure: optimized geometry

Properties
Magnetization ... 0.0 μB/f.u.
Density of states at the Fermi level ... 10.29 states/eV/f.u.
Relative energy among the computed polymorphs ... 1338 meV/atom

abc: 5.636 5.636 6.011
angles: 90.00 90.00 90.00
Space group P4/mmm (No. 123)
One atom of each set of equivalent atoms:
Tl  0.000  0.000  0.000 x1
V  0.500  0.500  0.500 x1
Sb  0.000  0.500  0.000 x2
I  0.000  0.000  0.500 x1


[8]
Compound: YTlSbI2
Source: Alexandria
Functional: PBE
Structure: optimized geometry

Properties
Magnetization ... 0.9 μB/f.u.
Density of states at the Fermi level ... 3.36 states/eV/f.u.
Relative energy among the computed polymorphs ... 0 meV/atom

abc: 6.005 6.005 6.045
angles: 90.00 90.00 90.00
Space group P4/mmm (No. 123)
One atom of each set of equivalent atoms:
Y  0.000  0.000  0.000 x1
Tl  0.500  0.500  0.500 x1
Sb  0.000  0.000  0.500 x1
I  0.000  0.500  0.000 x2


[9]
Compound: YTlSbI2
Source: Alexandria
Functional: PBE
Structure: optimized geometry

Properties
Magnetization ... 0.0 μB/f.u.
Density of states at the Fermi level ... 1.93 states/eV/f.u.
Relative energy among the computed polymorphs ... 759 meV/atom

abc: 5.899 5.899 5.799
angles: 90.00 90.00 90.00
Space group P4/mmm (No. 123)
One atom of each set of equivalent atoms:
Y  0.000  0.000  0.000 x1
Tl  0.500  0.500  0.500 x1
Sb  0.500  0.500  0.000 x1
I  0.000  0.500  0.500 x2


[10]
Compound: TlZnSbI2
Source: Alexandria
Functional: PBE
Structure: optimized geometry

Properties
Magnetization ... 1.5 μB/f.u.
Density of states at the Fermi level ... 2.97 states/eV/f.u.
Relative energy among the computed polymorphs ... 423 meV/atom

abc: 6.176 6.176 5.943
angles: 90.00 90.00 90.00
Space group P4/mmm (No. 123)
One atom of each set of equivalent atoms:
Tl  0.000  0.000  0.000 x1
Zn  0.500  0.500  0.500 x1
Sb  0.000  0.000  0.500 x1
I  0.000  0.500  0.000 x2


[11]
Compound: TlZnSb2I
Source: Alexandria
Functional: PBE
Structure: optimized geometry

Properties
Magnetization ... 0.0 μB/f.u.
Density of states at the Fermi level ... 3.80 states/eV/f.u.
Relative energy among the computed polymorphs ... 0 meV/atom

abc: 5.237 5.237 6.211
angles: 90.00 90.00 90.00
Space group P4/mmm (No. 123)
One atom of each set of equivalent atoms:
Tl  0.000  0.000  0.000 x1
Zn  0.500  0.500  0.500 x1
Sb  0.000  0.500  0.500 x2
I  0.500  0.500  0.000 x1


[12]
Compound: TlZnSb2I
Source: Alexandria
Functional: PBE
Structure: optimized geometry

Properties
Magnetization ... 1.9 μB/f.u.
Density of states at the Fermi level ... 3.62 states/eV/f.u.
Relative energy among the computed polymorphs ... 524 meV/atom

abc: 5.830 5.830 6.306
angles: 90.00 90.00 90.00
Space group P4/mmm (No. 123)
One atom of each set of equivalent atoms:
Tl  0.000  0.000  0.000 x1
Zn  0.500  0.500  0.500 x1
Sb  0.000  0.500  0.000 x2
I  0.000  0.000  0.500 x1


Number 1: raw formation energy -42 meV per atom. Number 2: raw formation energy -469 meV per atom. Number 3: raw formation energy -203 meV per atom. Number 4: raw formation energy -300 meV per atom. Number 5: raw formation energy 17 meV per atom. Number 6: raw formation energy 111 meV per atom. Number 7: raw formation energy 1449 meV per atom. Number 8: raw formation energy -533 meV per atom. Number 9: raw formation energy 226 meV per atom. Number 10: raw formation energy 420 meV per atom. Number 11: raw formation energy 235 meV per atom. Number 12: raw formation energy 759 meV per atom.